[1]
Material: Tb2ErSc7
Method: DFT, PBE
State: relaxed

Values from the calculation:
The value obtained for the total energy is -54.45 eV per cell. As for the symmetry: No. 71. For the energy relative to the elements, the calculation gives 0.370 eV per atom. As for the energy relative to the lowest polymorph listed for this composition: 21.3 kJ per mole of atoms.

a b c (Å): 9.6468 9.6468 9.6468
angles (deg): 159.27 112.19 71.76
Closest atoms and distances in Å follow each position.
Fractional coordinates of all 10 atoms:
Tb: 0.1833 0.1833 0.0000  6 Sc 3.04-3.29, 2 Er 3.35
Tb: 0.8167 0.8167 0.0000  6 Sc 3.04-3.29, 2 Er 3.35
Er: 0.0000 0.5000 0.5000  4 Tb 3.35, 2 Er 3.47, 4 Sc 3.70
Sc: 0.0998 0.3430 0.7568  6 Sc 3.14-3.47, 2 Tb 3.29
Sc: 0.3433 0.8433 0.5000  6 Sc 3.00-3.14, 2 Tb 3.04
Sc: 0.4137 0.6570 0.7568  6 Sc 3.14-3.47, 2 Tb 3.29
Sc: 0.5000 0.5000 0.0000  4 Sc 3.00
Sc: 0.5863 0.3430 0.2432  6 Sc 3.14-3.47, 2 Tb 3.29
Sc: 0.6567 0.1567 0.5000  6 Sc 3.00-3.14, 2 Tb 3.04
Sc: 0.9002 0.6570 0.2432  6 Sc 3.14-3.47, 2 Tb 3.29

[2]
Material: Tb4ErSc2
Method: DFT, PBE
State: relaxed

Values from the calculation:
The value obtained for the total energy is -69.43 eV per cell. As for the symmetry: No. 11. For the energy relative to the elements, the calculation gives 0.147 eV per atom. As for the energy relative to the lowest polymorph listed for this composition: 0.0 kJ per mole of atoms.

a b c (Å): 5.4512 6.7824 11.6241
angles (deg): 90.00 103.58 90.00
Closest atoms and distances in Å follow each position.
Fractional coordinates of all 14 atoms:
Tb: 0.0739 0.2500 0.1483  3 Sc 3.14-3.19, 3 Er 3.32-3.39
Tb: 0.2164 0.7500 0.4322  4 Sc 3.16-3.39, 1 Er 3.24
Tb: 0.3545 0.5006 0.7095  7 Tb 3.38-3.59, 5 Sc 3.55-3.72, 2 Er 3.60-3.61
Tb: 0.3545 0.9994 0.7095  7 Tb 3.38-3.59, 5 Sc 3.55-3.72, 2 Er 3.60-3.61
Tb: 0.6455 0.0006 0.2905  7 Tb 3.38-3.59, 5 Sc 3.55-3.72, 2 Er 3.60-3.61
Tb: 0.6455 0.4994 0.2905  7 Tb 3.38-3.59, 5 Sc 3.55-3.72, 2 Er 3.60-3.61
Tb: 0.7836 0.2500 0.5678  4 Sc 3.16-3.39, 1 Er 3.24
Tb: 0.9261 0.7500 0.8517  3 Sc 3.14-3.19, 3 Er 3.32-3.39
Er: 0.0738 0.7500 0.1457  2 Sc 3.20, 4 Tb 3.24-3.39
Er: 0.9262 0.2500 0.8543  2 Sc 3.20, 4 Tb 3.24-3.39
Sc: 0.2127 0.2500 0.4261  5 Tb 3.14-3.39
Sc: 0.5002 0.2500 0.0019  2 Tb 3.19, 2 Er 3.20, 2 Sc 3.39
Sc: 0.4998 0.7500 0.9981  2 Tb 3.19, 2 Er 3.20, 2 Sc 3.39
Sc: 0.7873 0.7500 0.5739  5 Tb 3.14-3.39

Look up the energy relative to the elements of the first one.
0.370 eV per atom

What is the energy relative to the elements in the first record?
0.370 eV per atom

Copy entry 2 word for word.
Material: Tb4ErSc2
Method: DFT, PBE
State: relaxed

Values from the calculation:
The value obtained for the total energy is -69.43 eV per cell. As for the symmetry: No. 11. For the energy relative to the elements, the calculation gives 0.147 eV per atom. As for the energy relative to the lowest polymorph listed for this composition: 0.0 kJ per mole of atoms.

a b c (Å): 5.4512 6.7824 11.6241
angles (deg): 90.00 103.58 90.00
Closest atoms and distances in Å follow each position.
Fractional coordinates of all 14 atoms:
Tb: 0.0739 0.2500 0.1483  3 Sc 3.14-3.19, 3 Er 3.32-3.39
Tb: 0.2164 0.7500 0.4322  4 Sc 3.16-3.39, 1 Er 3.24
Tb: 0.3545 0.5006 0.7095  7 Tb 3.38-3.59, 5 Sc 3.55-3.72, 2 Er 3.60-3.61
Tb: 0.3545 0.9994 0.7095  7 Tb 3.38-3.59, 5 Sc 3.55-3.72, 2 Er 3.60-3.61
Tb: 0.6455 0.0006 0.2905  7 Tb 3.38-3.59, 5 Sc 3.55-3.72, 2 Er 3.60-3.61
Tb: 0.6455 0.4994 0.2905  7 Tb 3.38-3.59, 5 Sc 3.55-3.72, 2 Er 3.60-3.61
Tb: 0.7836 0.2500 0.5678  4 Sc 3.16-3.39, 1 Er 3.24
Tb: 0.9261 0.7500 0.8517  3 Sc 3.14-3.19, 3 Er 3.32-3.39
Er: 0.0738 0.7500 0.1457  2 Sc 3.20, 4 Tb 3.24-3.39
Er: 0.9262 0.2500 0.8543  2 Sc 3.20, 4 Tb 3.24-3.39
Sc: 0.2127 0.2500 0.4261  5 Tb 3.14-3.39
Sc: 0.5002 0.2500 0.0019  2 Tb 3.19, 2 Er 3.20, 2 Sc 3.39
Sc: 0.4998 0.7500 0.9981  2 Tb 3.19, 2 Er 3.20, 2 Sc 3.39
Sc: 0.7873 0.7500 0.5739  5 Tb 3.14-3.39